The following is a DFT calculation (PBE) of crystalline SrYAg4 at its relaxed geometry.

SG = F-43m
N(E_F) = 1.153 states/eV/atom
E_form = -87 kJ/mol of formula units

Geometry as extended XYZ:
```
6
Lattice="0.000 4.122 4.122 4.122 0.000 4.122 4.122 4.122 0.000" Properties=species:S:1:pos:R:3 pbc="T T T"
Sr 0.000 0.000 0.000
Y 6.183 6.183 6.183
Ag 3.094 3.094 3.094
Ag 5.149 5.149 3.094
Ag 5.149 3.094 5.149
Ag 3.094 5.149 5.149
```

***

The following is a DFT calculation (PBE) of crystalline Hg2HPd6S at its relaxed geometry.

SG = C2/m
DFT total energy = -40.86 eV per cell
N(E_F) = 0.495 states/eV/atom

Geometry as extended XYZ:
```
10
Lattice="4.261 -4.299 0.000 4.261 4.299 0.000 -4.180 0.000 4.303" Properties=species:S:1:pos:R:3 pbc="T T T"
Hg 4.261 2.158 0.000
Hg 4.261 -2.158 0.000
H 2.171 0.000 2.151
Pd 2.171 2.041 2.151
Pd 2.155 0.000 0.110
Pd 0.164 0.000 2.166
Pd 4.177 0.000 2.137
Pd 2.186 0.000 4.193
Pd 2.171 -2.041 2.151
S -2.090 0.000 2.151
```

***

The following is a DFT calculation (PBE) of crystalline Na8B11C5 at its relaxed geometry.

SG = Pm
N(E_F) = 0.081 states/eV/atom
Energy above the lowest structure with this stoichiometry = 2.8 meV per atom
E_form = 242 kJ/mol of formula units

Geometry as extended XYZ:
```
24
Lattice="9.990 0.000 0.000 0.000 2.816 0.000 -4.730 0.000 8.818" Properties=species:S:1:pos:R:3 pbc="T T T"
Na 0.000 0.000 0.000
Na -2.350 1.408 4.391
Na -1.068 0.000 6.591
Na 1.302 1.408 2.199
Na 0.227 1.408 8.817
Na 2.604 0.000 4.404
Na 3.951 1.408 6.579
Na 6.337 0.000 2.205
B -3.409 1.408 6.818
B -2.522 1.408 8.325
B -0.080 0.000 4.076
B 2.734 0.000 0.409
B 1.189 1.408 6.169
B 3.584 0.000 1.853
B 4.130 1.408 2.760
B 2.429 0.000 8.230
B 5.352 0.000 4.773
B 7.759 1.408 0.421
B 8.651 1.408 1.954
C -0.929 0.000 2.666
C 0.341 1.408 4.781
C 1.631 0.000 6.881
C 4.935 1.408 4.094
C 6.186 0.000 6.142
```

***

The following is a DFT calculation (PBE) of crystalline Na2CaCu at its relaxed geometry.

SG = I-42d
N(E_F) = 0.652 states/eV/atom
Energy above the lowest structure with this stoichiometry = 0.0 meV per atom
E_form = 82 kJ/mol of formula units

Geometry as extended XYZ:
```
8
Lattice="-2.177 2.177 12.036 2.177 -2.177 12.036 2.177 2.177 -12.036" Properties=species:S:1:pos:R:3 pbc="T T T"
Na 3.266 0.965 -3.009
Na 0.965 1.089 3.009
Na -1.089 1.212 9.027
Na 1.212 1.089 15.045
Ca 2.177 0.000 6.018
Ca 0.000 0.000 12.036
Cu 0.000 0.000 0.000
Cu 0.000 2.177 6.018
```

***

Question: Which value of N(E_F) does entry 4 give?
Answer: 0.652 states/eV/atom

***

Question: N(E_F) of number 2 (Hg2HPd6S)?
Answer: 0.495 states/eV/atom

***

Question: Which value of N(E_F) does entry 4 give?
Answer: 0.652 states/eV/atom